The following is a PBE-GGA calculation of Tb4Te5I after structural relaxation, from Alexandria.

density: 6190 kg/m3
ΔE_f (raw): -1.152 eV/atom

Cell: 9.0862 10.8406 7.6291 Å, 90.00 90.00 90.00°
Last column: nearest neighbours and their distance in Å.
Fractional coordinates of all 20 atoms:
Tb 0.0410 0.2500 0.0492  3 Te 3.03-3.08, 1 I 3.18
Tb 0.2500 0.5008 0.5076  5 Te 2.94-3.10, 1 I 3.14
Tb 0.2500 0.9992 0.5076  5 Te 2.94-3.10, 1 I 3.14
Tb 0.4590 0.2500 0.0492  3 Te 3.03-3.08, 1 I 3.18
Tb 0.5410 0.7500 0.9508  3 Te 3.03-3.08, 1 I 3.18
Tb 0.7500 0.0008 0.4924  5 Te 2.94-3.10, 1 I 3.14
Tb 0.7500 0.4992 0.4924  5 Te 2.94-3.10, 1 I 3.14
Tb 0.9590 0.7500 0.9508  3 Te 3.03-3.08, 1 I 3.18
Te 0.0073 0.5526 0.2358  3 Tb 3.08-3.10
Te 0.0073 0.9474 0.2358  3 Tb 3.08-3.10
Te 0.2500 0.2500 0.3593  4 Tb 2.94-3.03
Te 0.4927 0.5526 0.2358  3 Tb 3.08-3.10
Te 0.4927 0.9474 0.2358  3 Tb 3.08-3.10
Te 0.5073 0.0526 0.7642  3 Tb 3.08-3.10
Te 0.5073 0.4474 0.7642  3 Tb 3.08-3.10
Te 0.7500 0.7500 0.6407  4 Tb 2.94-3.03
Te 0.9927 0.0526 0.7642  3 Tb 3.08-3.10
Te 0.9927 0.4474 0.7642  3 Tb 3.08-3.10
I 0.2500 0.7500 0.7185  4 Tb 3.14-3.18
I 0.7500 0.2500 0.2815  4 Tb 3.14-3.18

***

The following is a PBE-GGA calculation of Tb2TeI after structural relaxation, from Alexandria.

density: 7691 kg/m3
ΔE_f (raw): -0.927 eV/atom
distance to the lowest polymorph of the same formula: 57 meV per atom
DOS at the Fermi energy: 0.45 states/eV per atom

Cell: 8.6873 8.6873 8.6873 Å, 27.52 27.52 27.52°
Last column: nearest neighbours and their distance in Å.
Fractional coordinates of all 4 atoms:
Tb 0.2379 0.2379 0.2379  3 Te 2.98
Tb 0.7621 0.7621 0.7621  3 Te 2.98
Te 0.5000 0.5000 0.5000  6 Tb 2.98
I 0.0000 0.0000 0.0000  6 Tb 3.38

***

The following is a PBE-GGA calculation of Tb2TeI after structural relaxation, from Alexandria.

density: 8723 kg/m3
ΔE_f (raw): -0.948 eV/atom
distance to the lowest polymorph of the same formula: 36 meV per atom
DOS at the Fermi energy: 1.37 states/eV per atom

Cell: 3.7910 3.7910 7.5817 Å, 90.00 90.00 90.00°
Last column: nearest neighbours and their distance in Å.
Fractional coordinates of all 4 atoms:
Tb 0.0000 0.0000 0.2376  4 Te 3.23, 4 I 3.34, 1 Tb 3.60
Tb 0.0000 0.0000 0.7624  4 Te 3.23, 4 I 3.34, 1 Tb 3.60
Te 0.5000 0.5000 0.0000  8 Tb 3.23
I 0.5000 0.5000 0.5000  8 Tb 3.34